Entry from Alexandria via LeMat-Bulk: a geometry-optimized Nd2InOs structure (PBE).

```
data_Nd2InOs
_chemical_formula_sum 'Nd2 In1 Os1'
_cell_length_a 3.457
_cell_length_b 3.457
_cell_length_c 8.757
_cell_angle_alpha 90.00
_cell_angle_beta 90.00
_cell_angle_gamma 90.00
_symmetry_space_group_name_H-M 'P 4/m m m'
_symmetry_Int_Tables_number 123
_symmetry_space_group_name_Hall '-P 4 2'
loop_
_atom_site_label
_atom_site_fract_x
_atom_site_fract_y
_atom_site_fract_z
_atom_site_occupancy
Nd1 0.000 0.000 0.201 1
In1 0.500 0.500 0.500 1
Os1 0.500 0.500 0.000 1
```

D(E_F) = 0.727 states/eV per atom
E_form = -0.193 eV/atom
Electronic total energy = -6.069 eV/atom